No. 1
Entry from Alexandria: a relaxed structure of FeRuBr4 (PBE).

a = 8.617 Å, b = 8.617 Å, c = 8.617 Å
α = 90.00°, β = 90.00°, γ = 90.00°
Space group F-43m (No. 216)
Unique sites:
1 Fe 0.000 0.000 0.000 [4 per cell]
2 Ru 0.250 0.250 0.750 [4 per cell]
3 Br 0.125 0.125 0.375 [16 per cell]

Computed properties:
E: -2.51 eV per atom
Raw formation energy: 1.559 eV per atom
DOS at the Fermi energy: 1.8656 states/eV/atom



No. 2
Entry from Alexandria: a relaxed structure of Fe2RuBr (PBE).

a = 3.012 Å, b = 4.391 Å, c = 4.405 Å
α = 90.00°, β = 90.00°, γ = 90.00°
Space group Pmmm (No. 47)
Unique sites:
1 Fe 0.000 0.000 0.000 [1 per cell]
2 Fe 0.500 0.500 0.000 [1 per cell]
3 Ru 0.000 0.500 0.500 [1 per cell]
4 Br 0.500 0.000 0.500 [1 per cell]

Computed properties:
Relative energy among the computed polymorphs: 308 meV/atom
E: -6.23 eV per atom
Raw formation energy: 0.735 eV per atom
DOS at the Fermi energy: 0.9474 states/eV/atom



No. 3
Entry from Alexandria: a relaxed structure of FeRuSeBr2 (PBE).

a = 5.180 Å, b = 5.180 Å, c = 4.682 Å
α = 90.00°, β = 90.00°, γ = 90.00°
Space group P4/mmm (No. 123)
Unique sites:
1 Fe 0.000 0.000 0.000 [1 per cell]
2 Ru 0.500 0.500 0.500 [1 per cell]
3 Se 0.500 0.500 0.000 [1 per cell]
4 Br 0.000 0.500 0.500 [2 per cell]

Computed properties:
Relative energy among the computed polymorphs: 0 meV/atom
E: -4.24 eV per atom
Raw formation energy: 0.678 eV per atom
DOS at the Fermi energy: 1.3381 states/eV/atom



No. 4
Entry from Alexandria: a relaxed structure of FeRuSe2Br (PBE).

a = 4.813 Å, b = 4.813 Å, c = 5.152 Å
α = 90.00°, β = 90.00°, γ = 90.00°
Space group P4/mmm (No. 123)
Unique sites:
1 Fe 0.000 0.000 0.000 [1 per cell]
2 Ru 0.500 0.500 0.500 [1 per cell]
3 Se 0.000 0.500 0.500 [2 per cell]
4 Br 0.500 0.500 0.000 [1 per cell]

Computed properties:
Relative energy among the computed polymorphs: 0 meV/atom
E: -4.53 eV per atom
Raw formation energy: 0.744 eV per atom
DOS at the Fermi energy: 1.6523 states/eV/atom



No. 5
Entry from Alexandria: a relaxed structure of FeS2Br (PBE).

a = 2.8274 Å, b = 2.8274 Å, c = 38.1737 Å
α = 90.00°, β = 90.00°, γ = 120.00°
Space group R-3m (No. 166, hexagonal axes)
Unique sites:
1 Fe 0.0000 0.0000 0.0000 [3 per cell]
2 S 0.0000 0.0000 0.0560 [6 per cell]
3 Br 0.0000 0.0000 0.5000 [3 per cell]

Computed properties:
Relative energy among the computed polymorphs: 701 meV/atom
E: -4.05 eV per atom
Raw formation energy: 0.545 eV per atom
DOS at the Fermi energy: 1.1116 states/eV/atom



No. 6
Entry from Alexandria: a relaxed structure of FeS2Br (PBE).

a = 3.4630 Å, b = 3.4630 Å, c = 21.4385 Å
α = 90.00°, β = 90.00°, γ = 120.00°
Space group R-3m (No. 166, hexagonal axes)
Unique sites:
1 Fe 0.0000 0.0000 0.0000 [3 per cell]
2 S 0.0000 0.0000 0.3846 [6 per cell]
3 Br 0.0000 0.0000 0.5000 [3 per cell]

Computed properties:
Relative energy among the computed polymorphs: 0 meV/atom
E: -4.75 eV per atom
Raw formation energy: -0.156 eV per atom
DOS at the Fermi energy: 0.9160 states/eV/atom